Below is an optimized crystal structure of Sm12Dy2Tm5, with properties calculated at the GGA-PBE level.

Geometry as POSCAR:
```
Sm12Dy2Tm5
1.0
9.2361 0.0000 0.0000
-4.6181 7.8013 1.2379
0.0000 -1.5559 8.4873
Sm Tm Dy
12 5 2
Cartesian
6.4196 0.9414 6.0051
-2.9400 4.2216 7.3294
2.8165 0.9414 6.0051
7.5581 2.0237 2.3958
0.0000 -0.0130 7.7142
-1.8016 5.3039 3.7200
1.8016 5.3039 3.7200
1.6780 2.0237 2.3958
0.0000 5.8154 6.6897
4.6181 0.4300 3.0355
4.6181 6.2584 2.0109
2.9400 4.2216 7.3294
0.0000 -0.7780 4.2437
0.0000 2.7171 5.4057
4.6181 3.0826 0.6712
4.6181 3.5283 4.3194
0.0000 3.1628 9.0540
6.2169 0.0000 0.0000
3.0192 0.0000 0.0000
```

- ΔE to the lowest computed polymorph (eV per atom) = 0.024
- SG = No. 12



Below is an optimized crystal structure of Sm19Dy6Tm4, with properties calculated at the GGA-PBE level.

Geometry as POSCAR:
```
Sm19Dy6Tm4
1.0
-5.4524 1.9386 -9.2015
10.5772 -1.1451 -2.2285
-3.7460 -9.1190 4.5788
Sm Dy Tm
19 6 4
Cartesian
1.3307 0.2060 -2.9679
1.5401 -3.6202 -5.5859
-1.6736 -1.1631 -4.4287
0.0000 0.0000 0.0000
2.1936 -5.8720 -2.7181
-2.3884 -1.8644 -1.2003
3.7941 0.5875 -8.4622
2.8350 -9.2074 -0.2345
4.8912 -2.5596 -7.8990
-4.6688 -6.6685 0.4665
-0.8057 -4.8050 0.1715
5.0574 -7.5989 1.7400
7.0871 -4.0128 -0.3949
-4.8496 -5.6030 -6.1609
-1.2645 -5.4178 -3.9659
-0.8120 0.9817 -8.0537
1.7737 -2.6651 0.6102
-6.8100 -5.3160 -3.4224
3.7997 -2.0050 -2.3042
-0.0272 -7.8195 -0.5551
5.1191 -3.4449 -4.8354
4.0599 -5.0323 -0.2619
-2.6811 -3.2932 -6.5894
-3.7404 -4.8806 -2.0159
1.4059 -0.5060 -6.2962
0.4949 -2.9883 -2.4592
6.7806 -0.7341 -1.4286
-3.4953 1.2428 -5.8987
-2.4014 -5.8459 2.9353
```

- SG = No. 197



Below is an optimized crystal structure of Sm5DyTm4, with properties calculated at the GGA-PBE level.

Geometry as POSCAR:
```
Sm5DyTm4
1.0
-1.5478 -1.8988 -2.5443
9.7228 -5.6129 -1.7261
-8.7992 -0.2874 8.0190
Sm Tm Dy
5 4 1
Cartesian
4.0875 -3.7558 -2.1352
-1.0652 -2.2365 2.3170
-4.7947 -2.8364 2.5822
4.1705 -4.9626 1.1664
0.4409 -5.5626 1.4315
6.1087 -6.3379 -1.4379
-6.7329 -1.4612 5.1864
-2.6606 -5.5176 3.2847
2.0363 -2.2815 0.4638
-0.7739 -0.9494 -1.2722
```

- ΔE to the lowest computed polymorph (eV per atom) = 0.000
- SG = No. 12



Below is an optimized crystal structure of Sm6Dy3Tm, with properties calculated at the GGA-PBE level.

Geometry as POSCAR:
```
Sm6Dy3Tm
1.0
-1.6093 5.0845 3.3162
-9.6049 -4.7921 2.6862
8.9193 -1.3553 6.4065
Dy Sm Tm
6 12 2
Cartesian
-3.3958 -3.1332 8.6954
-0.0493 0.1792 11.1872
1.6292 -2.3101 5.2113
-3.3574 -0.5437 6.0295
0.4064 4.2645 5.1446
-2.9402 0.9521 2.6528
2.7341 0.9836 7.5215
-0.5121 -1.1820 8.0393
-4.6997 -3.0871 4.2088
-1.1213 -1.9708 3.0066
-9.5033 -2.5919 4.1814
3.1458 0.9134 4.3832
-5.4664 2.0072 4.4733
6.7088 3.1074 9.2571
-1.3509 -4.0292 6.0511
-5.7882 -0.8786 8.7417
2.8239 -1.9723 8.6516
-0.2826 0.8764 4.9947
5.0324 -1.4189 6.0705
-6.9159 -0.9441 5.4905
```

- ΔE to the lowest computed polymorph (eV per atom) = 0.020
- SG = No. 36



Below is an optimized crystal structure of SmDy3Tm3, with properties calculated at the GGA-PBE level.

Geometry as POSCAR:
```
SmDy3Tm3
1.0
5.6209 0.0000 0.0000
0.0000 9.5167 -0.0085
0.0000 -4.7513 8.2448
Tm Dy Sm
6 6 2
Cartesian
1.4052 -0.6681 7.4551
1.4052 2.0387 5.0954
1.4052 -1.3584 3.9311
4.2157 2.7267 3.1408
4.2157 5.4335 0.7811
4.2157 6.1238 4.3051
4.2157 -0.6702 1.9666
1.4052 7.4790 0.3935
1.4052 5.4356 6.2697
4.2157 3.3983 6.6719
1.4052 1.3671 1.5643
4.2157 -2.7136 7.8428
4.2157 0.0047 5.4938
1.4052 4.7607 2.7425
```

- ΔE to the lowest computed polymorph (eV per atom) = 0.000
- SG = No. 176



Below is an optimized crystal structure of Sm2Dy6Tm5, with properties calculated at the GGA-PBE level.

Geometry as POSCAR:
```
Sm2Dy6Tm5
1.0
3.5651 0.0000 0.0000
0.0000 11.6079 0.0000
0.0000 0.0000 20.0239
Dy Tm Sm
12 10 4
Cartesian
0.0000 4.8515 17.3545
0.0000 0.6769 1.5834
0.0000 10.6554 12.6813
1.7825 2.0317 12.5919
1.7825 9.5762 7.4320
0.0000 6.7564 2.6694
0.0000 10.9310 18.4405
0.0000 6.4808 8.4286
0.0000 0.9524 7.3426
0.0000 5.1270 11.5953
1.7825 3.7723 2.5800
1.7825 7.8356 17.4439
1.7825 8.1128 11.0343
1.7825 1.0934 4.4819
1.7825 4.7105 14.4939
1.7825 5.8039 0.0000
1.7825 10.5144 15.5419
1.7825 6.8974 5.5300
1.7825 0.0000 10.0119
1.7825 2.3089 19.0015
1.7825 3.4951 8.9896
1.7825 9.2990 1.0224
0.0000 1.9166 15.7447
0.0000 3.8873 5.7328
0.0000 7.7206 14.2911
0.0000 9.6912 4.2791
```

- SG = No. 55



Below is an optimized crystal structure of Sm4Dy2Tm, with properties calculated at the GGA-PBE level.

Geometry as POSCAR:
```
Sm4Dy2Tm
1.0
-11.0481 1.9165 5.4111
6.9289 -1.1198 -10.2834
1.0100 -6.2503 2.3660
Tm Dy Sm
2 4 8
Cartesian
0.4922 -3.0676 -3.4521
-4.5072 0.8166 -0.7114
-9.4249 1.3418 4.0669
-4.3217 -1.9620 1.3321
5.8252 -4.2738 -7.6229
1.9389 -6.0593 -2.5097
4.3686 -6.1223 -5.0645
-1.9171 -0.4692 -2.7930
3.3752 -2.7195 -5.5138
-2.0829 -3.4811 -1.0244
1.2029 -3.8817 0.0955
-7.1087 -1.1440 3.3316
-5.7788 -4.2133 4.1018
-1.2847 -0.4217 0.6433
```

- ΔE to the lowest computed polymorph (eV per atom) = 0.000
- SG = No. 43



Below is an optimized crystal structure of Sm5Dy3Tm2, with properties calculated at the GGA-PBE level.

Geometry as POSCAR:
```
Sm5Dy3Tm2
1.0
10.9242 0.0000 0.0000
5.4621 8.2396 0.3931
5.4621 2.5656 7.8398
Sm Dy Tm
10 6 4
Cartesian
13.6553 5.4026 4.1165
16.3863 6.1943 5.9425
8.1932 2.6792 2.0414
13.6553 8.1259 6.1915
8.1932 5.4026 4.1165
10.9242 3.4319 3.8377
2.7310 2.6792 2.0414
10.9242 7.3733 4.3952
5.4621 4.6108 2.2904
19.1174 8.1259 6.1915
10.9242 5.3348 6.9765
10.9242 5.4704 1.2564
16.3863 8.1421 3.2921
5.4621 2.6631 4.9408
2.7311 0.0000 0.0000
8.1932 0.0000 0.0000
10.9242 9.0140 7.8550
16.3863 9.9654 6.6063
10.9242 1.7912 0.3779
5.4621 0.8397 1.6267
```

- ΔE to the lowest computed polymorph (eV per atom) = 0.199
- SG = No. 72



no.,energy of formation (eV/atom),DOS(E_F) (states/eV/f.u.)
1,0.125,27.3
2,0.369,42.7
3,0.040,14.3
4,0.145,13.5
5,0.008,14.4
6,0.101,15.9
7,0.054,10.0
8,0.389,15.7